1.
The following is a DFT calculation (PBE-GGA) of a geometry-optimized NaPuPb structure.

The space group is I4mm (No. 107) and the conventional cell measures 3.366, 3.366 and 15.783 Å, with angles of 90.00, 90.00 and 90.00 degrees. The inequivalent atoms are Na at (0.000, 0.000, 0.000), Pu at (0.000, 0.000, 0.306) and Pb at (0.000, 0.000, 0.652).

The mass density comes out at 8.81 g/cm3. Its energy above the most stable polymorph in this dataset is 15 kJ/mol of formula units. Its energy of formation from the pure elements is 0.0814 eV/atom. The value obtained for the volume is 29.797 A^3/atom. The value obtained for the magnetization is 13.1 Bohr magnetons per cell.

***

2.
The following is a DFT calculation (PBE-GGA) of a geometry-optimized AcCoAs structure.

The space group is P2_1/c (No. 14) and the conventional cell measures 6.273, 6.460 and 7.621 Å, with angles of 90.00, 121.20 and 90.00 degrees. The inequivalent atoms are Ac at (0.197, 0.138, 0.397), Co at (0.390, 0.598, 0.330) and As at (0.297, 0.650, 0.588).

The mass density comes out at 9.07 g/cm3. Its energy above the most stable polymorph in this dataset is 4 kJ/mol of formula units. Its energy of formation from the pure elements is -0.7320 eV/atom. The value obtained for the volume is 22.018 A^3/atom. The value obtained for the magnetization is 0.0 Bohr magnetons per cell.

***

3.
The following is a DFT calculation (PBE-GGA) of a geometry-optimized ReAgSe4 structure.

The space group is F-43m (No. 216) and the conventional cell measures 8.015, 8.015 and 8.015 Å, with angles of 90.00, 90.00 and 90.00 degrees. The inequivalent atoms are Re at (0.000, 0.000, 0.000), Ag at (0.250, 0.250, 0.250) and Se at (0.125, 0.125, 0.625).

The mass density comes out at 7.87 g/cm3. The value obtained for the volume is 21.450 A^3/atom. The value obtained for the formation energy (no corrections) is 1.29 eV per atom. The value obtained for the magnetization is 18.0 Bohr magnetons per cell.

***

4.
The following is a DFT calculation (PBE-GGA) of a geometry-optimized HfZr2BeZn structure.

The space group is P4/mmm (No. 123) and the conventional cell measures 4.919, 4.919 and 4.881 Å, with angles of 90.00, 90.00 and 90.00 degrees. The inequivalent atoms are Hf at (0.000, 0.000, 0.000), Zr at (0.000, 0.500, 0.500), Be at (0.500, 0.500, 0.000) and Zn at (0.000, 0.000, 0.500).

The mass density comes out at 6.12 g/cm3. Its energy of formation from the pure elements is 0.9275 eV/atom. The value obtained for the volume is 23.620 A^3/atom. The value obtained for the magnetization is 0.0 Bohr magnetons per cell.

***

5.
The following is a DFT calculation (PBE-GGA) of a geometry-optimized MgTe2NF structure.

The space group is P4/mmm (No. 123) and the conventional cell measures 4.812, 4.812 and 4.729 Å, with angles of 90.00, 90.00 and 90.00 degrees. The inequivalent atoms are Mg at (0.000, 0.000, 0.000), Te at (0.000, 0.500, 0.500), N at (0.500, 0.500, 0.000) and F at (0.500, 0.500, 0.500).

The mass density comes out at 4.74 g/cm3. Its energy above the most stable polymorph in this dataset is 46 kJ/mol of formula units. The value obtained for the volume is 21.899 A^3/atom. The value obtained for the formation energy (no corrections) is 0.65 eV per atom. The value obtained for the magnetization is 2.5 Bohr magnetons per cell.

***

6.
The following is a DFT calculation (PBE-GGA) of a geometry-optimized ZrScCl2 structure.

The space group is Imm2 (No. 44) and the conventional cell measures 3.174, 4.622 and 11.032 Å, with angles of 90.00, 90.00 and 90.00 degrees. The inequivalent atoms are Zr at (0.000, 0.000, 0.000), Sc at (0.000, 0.500, 0.226), Cl at (0.000, 0.000, 0.524) and Cl at (0.000, 0.500, 0.709).

The mass density comes out at 4.25 g/cm3. Its energy above the most stable polymorph in this dataset is 245 kJ/mol of formula units. The value obtained for the volume is 20.229 A^3/atom. The value obtained for the formation energy (no corrections) is -0.72 eV per atom. The value obtained for the magnetization is 0.0 Bohr magnetons per cell.

***

7.
The following is a DFT calculation (PBE-GGA) of a geometry-optimized K2MgFe structure.

The space group is R-3m (No. 166, hexagonal axes) and the conventional cell measures 3.4384, 3.4384 and 36.9529 Å, with angles of 90.00, 90.00 and 120.00 degrees. The inequivalent atoms are K at (0.0000, 0.0000, 0.2421), Mg at (0.0000, 0.0000, 0.0000) and Fe at (0.0000, 0.0000, 0.5000).

The mass density comes out at 2.08 g/cm3. Its energy above the most stable polymorph in this dataset is 115 kJ/mol of formula units. Its energy of formation from the pure elements is 0.8874 eV/atom. The value obtained for the volume is 31.529 A^3/atom. The value obtained for the magnetization is 8.8 Bohr magnetons per cell.

***

8.
The following is a DFT calculation (PBE-GGA) of a geometry-optimized Ti2AlPdBr structure.

The space group is P4/mmm (No. 123) and the conventional cell measures 5.007, 5.007 and 4.508 Å, with angles of 90.00, 90.00 and 90.00 degrees. The inequivalent atoms are Ti at (0.000, 0.500, 0.000), Al at (0.000, 0.000, 0.000), Pd at (0.000, 0.000, 0.500) and Br at (0.500, 0.500, 0.500).

The mass density comes out at 4.54 g/cm3. The value obtained for the volume is 22.608 A^3/atom. The value obtained for the formation energy (no corrections) is 0.54 eV per atom. The value obtained for the magnetization is 2.3 Bohr magnetons per cell.

***

9.
The following is a DFT calculation (PBE-GGA) of a geometry-optimized HoPaRhN3 structure.

The space group is P2_1/m (No. 11) and the conventional cell measures 6.585, 3.408 and 8.105 Å, with angles of 90.00, 103.84 and 90.00 degrees. The inequivalent atoms are Ho at (0.073, 0.250, 0.325), Pa at (0.421, 0.750, 0.677), Rh at (0.172, 0.250, 0.988), N at (0.181, 0.250, 0.619), N at (0.250, 0.750, 0.916) and N at (0.359, 0.750, 0.379).

The mass density comes out at 10.17 g/cm3. The value obtained for the volume is 14.720 A^3/atom. The value obtained for the formation energy (no corrections) is -1.01 eV per atom. The value obtained for the magnetization is 0.0 Bohr magnetons per cell.

***

10.
The following is a DFT calculation (PBE-GGA) of a geometry-optimized Pr5NdEr5 structure.

The space group is P-6m2 (No. 187) and the conventional cell measures 6.1411, 6.1411 and 11.9012 Å, with angles of 90.00, 90.00 and 120.00 degrees. The inequivalent atoms are Pr at (0.0000, 0.0000, 0.0000), Pr at (0.3333, 0.6667, 0.3179), Pr at (0.6667, 0.3333, 0.1550), Nd at (0.3333, 0.6667, 0.0000), Er at (0.0000, 0.0000, 0.2667) and Er at (0.3323, 0.1661, 0.5000).

The mass density comes out at 7.20 g/cm3. Its energy of formation from the pure elements is 0.2732 eV/atom. The value obtained for the volume is 35.336 A^3/atom. The value obtained for the magnetization is 0.0 Bohr magnetons per cell.

***

11.
The following is a DFT calculation (PBE-GGA) of a geometry-optimized Nb2TlRhBr structure.

The space group is P4/mmm (No. 123) and the conventional cell measures 4.687, 4.687 and 5.506 Å, with angles of 90.00, 90.00 and 90.00 degrees. The inequivalent atoms are Nb at (0.000, 0.500, 0.000), Tl at (0.000, 0.000, 0.500), Rh at (0.500, 0.500, 0.500) and Br at (0.000, 0.000, 0.000).

The mass density comes out at 7.87 g/cm3. The value obtained for the volume is 24.194 A^3/atom. The value obtained for the formation energy (no corrections) is 1.47 eV per atom. The value obtained for the magnetization is 0.0 Bohr magnetons per cell.

***

12.
The following is a DFT calculation (PBE-GGA) of a geometry-optimized CsLiCu3 structure.

The space group is Pm-3m (No. 221) and the conventional cell measures 5.923, 5.923 and 5.923 Å, with angles of 90.00, 90.00 and 90.00 degrees. The inequivalent atoms are Cs at (0.000, 0.000, 0.000), Li at (0.500, 0.500, 0.500) and Cu at (0.000, 0.000, 0.500).

The mass density comes out at 2.64 g/cm3. Its energy above the most stable polymorph in this dataset is 413 kJ/mol of formula units. Its energy of formation from the pure elements is 1.5314 eV/atom. The value obtained for the volume is 41.562 A^3/atom. The value obtained for the magnetization is 0.0 Bohr magnetons per cell.

***

> Number 4 is which compound?

HfZr2BeZn